Material: K3Th3CoS8
Method: DFT, PBE
State: relaxed

Cell and atoms, written as POSCAR:
```
K3Th3CoS8
1.0
8.130 0.000 0.000
-4.065 7.034 -0.026
0.000 -4.659 7.529
S Th K Co
8 3 3 1
Direct
0.774 0.035 0.309
0.262 0.524 0.286
0.775 0.550 0.310
0.261 0.035 0.309
0.739 0.965 0.691
0.225 0.450 0.690
0.738 0.476 0.714
0.226 0.965 0.691
0.500 0.000 0.500
0.000 0.500 0.500
0.500 0.500 0.500
0.000 0.000 0.000
0.500 0.500 0.000
0.000 0.500 0.000
0.000 0.000 0.500
```

- uncorrected energy (eV/f.u.) = -87.97
- ΔE_f (raw) (kJ per mole of atoms) = -143.4
- density (kg/m³) = 4364
- space group = C2/m (12)

=====

Material: KTiCoS3
Method: DFT, PBE
State: relaxed

Cell and atoms, written as POSCAR:
```
KTiCoS3
1.0
-2.119 -2.603 1.111
6.292 -3.163 4.587
-5.142 6.074 4.427
Co S Ti K
2 6 2 2
Direct
0.250 0.087 0.603
0.750 0.913 0.397
0.250 0.794 0.458
0.750 0.875 0.139
0.250 0.125 0.861
0.750 0.206 0.542
0.750 0.470 0.142
0.250 0.530 0.858
0.250 0.686 0.161
0.750 0.314 0.839
0.750 0.777 0.755
0.250 0.223 0.245
```

- uncorrected energy (eV/f.u.) = -35.15
- ΔE_f (raw) (kJ per mole of atoms) = -107.2
- density (kg/m³) = 3255
- space group = P2_1/m (11)

=====

Material: K3Ti3CoS8
Method: DFT, PBE
State: relaxed

Cell and atoms, written as POSCAR:
```
K3Ti3CoS8
1.0
-2.599 4.067 5.167
-0.521 -7.044 0.445
7.789 3.080 1.493
S Ti K Co
8 3 3 1
Direct
0.730 0.459 0.689
0.221 0.956 0.677
0.270 0.541 0.311
0.221 0.442 0.677
0.779 0.044 0.323
0.779 0.558 0.323
0.735 0.956 0.677
0.265 0.044 0.323
0.500 0.500 0.500
0.000 0.500 0.500
0.500 0.000 0.500
0.000 0.500 0.000
0.500 0.500 0.000
0.000 0.000 0.000
0.000 0.000 0.500
```

- uncorrected energy (eV/f.u.) = -84.58
- ΔE_f (raw) (kJ per mole of atoms) = -112.4
- density (kg/m³) = 2960
- space group = C2/m (12)

=====

Material: K2TiCoS4
Method: DFT, PBE
State: relaxed

Cell and atoms, written as POSCAR:
```
K2TiCoS4
1.0
-1.892 -2.102 -4.784
4.036 -5.351 -2.473
-7.513 -8.772 3.596
K Ti Co S
4 2 2 8
Direct
0.572 0.500 0.856
0.178 0.000 0.644
0.928 0.500 0.144
0.822 0.000 0.356
0.000 0.000 0.000
0.750 0.500 0.500
0.500 0.000 0.000
0.250 0.500 0.500
0.850 0.696 0.606
0.900 0.804 0.894
0.152 0.304 0.394
0.454 0.696 0.394
0.296 0.804 0.106
0.206 0.196 0.894
0.598 0.196 0.106
0.544 0.304 0.606
```

- uncorrected energy (eV/f.u.) = -42.39
- ΔE_f (raw) (kJ per mole of atoms) = -104.8
- density (kg/m³) = 2416
- space group = Fddd (70)

=====

Material: KU2Co2S6
Method: DFT, PBE
State: relaxed

Cell and atoms, written as POSCAR:
```
KU2Co2S6
1.0
-3.353 6.300 -0.864
-5.940 0.308 2.130
5.633 3.908 3.425
U Co S K
2 2 6 1
Direct
0.825 0.341 0.825
0.175 0.659 0.175
0.191 0.879 0.880
0.809 0.121 0.120
0.198 0.800 0.560
0.802 0.200 0.440
0.585 0.173 0.931
0.415 0.827 0.069
0.962 0.380 0.143
0.038 0.620 0.857
0.500 0.000 0.500
```

- uncorrected energy (eV/f.u.) = -73.31
- ΔE_f (raw) (kJ per mole of atoms) = -93.5
- density (kg/m³) = 5490
- space group = P-1 (2)

=====

Material: K3U3CoS8
Method: DFT, PBE
State: relaxed

Cell and atoms, written as POSCAR:
```
K3U3CoS8
1.0
-1.677 7.254 2.161
-4.463 -3.628 -5.189
-0.812 -2.673 8.340
S K U Co
8 3 3 1
Direct
0.224 0.447 0.689
0.741 0.965 0.689
0.776 0.035 0.311
0.224 0.965 0.689
0.736 0.471 0.707
0.776 0.553 0.311
0.264 0.529 0.293
0.259 0.035 0.311
0.500 0.500 0.000
0.000 0.000 0.000
0.000 0.500 0.000
0.000 0.500 0.500
0.500 0.000 0.500
0.500 0.500 0.500
0.000 0.000 0.500
```

- uncorrected energy (eV/f.u.) = -95.34
- ΔE_f (raw) (kJ per mole of atoms) = -116.2
- density (kg/m³) = 4833
- space group = C2/m (12)

=====

Material: K3U2CoS6
Method: DFT, PBE
State: relaxed

Cell and atoms, written as POSCAR:
```
K3U2CoS6
1.0
6.760 -0.001 0.001
-3.380 5.855 0.001
-1.126 -1.949 7.403
U K S Co
2 3 6 1
Direct
0.333 0.667 0.000
0.667 0.333 0.000
0.165 0.835 0.500
0.500 0.500 0.500
0.835 0.165 0.500
0.391 0.066 0.197
0.934 0.609 0.803
0.741 0.741 0.197
0.609 0.934 0.803
0.259 0.259 0.803
0.066 0.391 0.197
0.000 0.000 0.000
```

- uncorrected energy (eV/f.u.) = -71.45
- ΔE_f (raw) (kJ per mole of atoms) = -110.3
- density (kg/m³) = 4787
- space group = C2/m (12)

=====

Material: K4U3CoS8
Method: DFT, PBE
State: relaxed

Cell and atoms, written as POSCAR:
```
K4U3CoS8
1.0
7.872 0.000 0.000
0.000 8.691 0.561
-3.936 -3.929 5.575
S U K Co
8 3 4 1
Direct
0.264 0.292 0.528
0.736 0.708 0.472
0.772 0.304 0.032
0.260 0.304 0.032
0.740 0.696 0.968
0.229 0.697 0.457
0.771 0.303 0.543
0.228 0.696 0.968
0.500 0.500 0.000
0.000 0.500 0.500
0.500 0.500 0.500
0.000 0.000 0.500
0.000 0.000 0.000
0.500 0.000 0.000
0.500 0.000 0.500
0.000 0.500 0.000
```

- uncorrected energy (eV/f.u.) = -97.62
- ΔE_f (raw) (kJ per mole of atoms) = -116.0
- density (kg/m³) = 4939
- space group = R-3m (166)